Density functional theory data (meta-GGA SCAN) for a PBEsol-optimized structure of ZnReTe2.

Crystal system: orthorhombic
Uncorrected formation energy (kJ/mol of formula units): 243
Calculated density (g/cm3): 10.03

Cell lengths 3.317, 5.133, 9.854 Å; angles 90.00, 90.00, 90.00 degrees
Space group Cmm2 (No. 35)
Asymmetric unit:
Zn 0.000 0.000 0.000 [2 per cell]
Re 0.000 0.500 0.799 [2 per cell]
Te 0.000 0.000 0.589 [2 per cell]
Te 0.000 0.500 0.246 [2 per cell]

Density functional theory data (meta-GGA SCAN) for a PBEsol-optimized structure of Zr2ReTe.

Crystal system: orthorhombic
Uncorrected formation energy (kJ/mol of formula units): -121
Calculated density (g/cm3): 10.69

Cell lengths 5.948, 7.624, 3.401 Å; angles 90.00, 90.00, 90.00 degrees
Space group Cmmm (No. 65)
Asymmetric unit:
Zr 0.250 0.250 0.000 [4 per cell]
Re 0.000 0.000 0.500 [2 per cell]
Te 0.000 0.500 0.500 [2 per cell]

Density functional theory data (meta-GGA SCAN) for a PBEsol-optimized structure of Zr2ReTe.

Crystal system: tetragonal
Uncorrected formation energy (kJ/mol of formula units): -61
Calculated density (g/cm3): 9.58

Cell lengths 3.797, 3.797, 5.963 Å; angles 90.00, 90.00, 90.00 degrees
Space group P4mm (No. 99)
Asymmetric unit:
Zr 0.000 0.000 0.000 [1 per cell]
Zr 0.500 0.500 0.323 [1 per cell]
Re 0.000 0.000 0.420 [1 per cell]
Te 0.500 0.500 0.806 [1 per cell]

Density functional theory data (meta-GGA SCAN) for a PBEsol-optimized structure of Zr2ReTe.

Crystal system: cubic
Uncorrected formation energy (kJ/mol of formula units): 23
Calculated density (g/cm3): 10.90

Cell lengths 6.713, 6.713, 6.713 Å; angles 90.00, 90.00, 90.00 degrees
Space group F-43m (No. 216)
Asymmetric unit:
Zr 0.000 0.000 0.000 [4 per cell]
Zr 0.250 0.250 0.250 [4 per cell]
Re 0.250 0.250 0.750 [4 per cell]
Te 0.000 0.000 0.500 [4 per cell]

Density functional theory data (meta-GGA SCAN) for a PBEsol-optimized structure of TiRe.

ΔH_f (0 K) (eV per atom): -0.51
Crystal system: cubic
Calculated density (g/cm3): 13.29

Cell lengths 3.081, 3.081, 3.081 Å; angles 90.00, 90.00, 90.00 degrees
Space group Pm-3m (No. 221)
Asymmetric unit:
Ti 0.000 0.000 0.000 [1 per cell]
Re 0.500 0.500 0.500 [1 per cell]

Density functional theory data (meta-GGA SCAN) for a PBEsol-optimized structure of Ti3TlRe.

ΔH_f (0 K) (eV per atom): 0.45
Crystal system: cubic
Calculated density (g/cm3): 8.41

Cell lengths 4.724, 4.724, 4.724 Å; angles 90.00, 90.00, 90.00 degrees
Space group Pm-3m (No. 221)
Asymmetric unit:
Ti 0.000 0.000 0.500 [3 per cell]
Tl 0.500 0.500 0.500 [1 per cell]
Re 0.000 0.000 0.000 [1 per cell]

Density functional theory data (meta-GGA SCAN) for a PBEsol-optimized structure of TiVRe2.

ΔH_f (0 K) (eV per atom): -0.53
Crystal system: cubic
Calculated density (g/cm3): 13.88

Cell lengths 6.087, 6.087, 6.087 Å; angles 90.00, 90.00, 90.00 degrees
Space group Fm-3m (No. 225)
Asymmetric unit:
Ti 0.000 0.000 0.000 [4 per cell]
V 0.000 0.000 0.500 [4 per cell]
Re 0.250 0.250 0.250 [8 per cell]

Density functional theory data (meta-GGA SCAN) for a PBEsol-optimized structure of TiRe2W.

ΔH_f (0 K) (eV per atom): -0.46
Crystal system: cubic
Calculated density (g/cm3): 16.85

Cell lengths 6.198, 6.198, 6.198 Å; angles 90.00, 90.00, 90.00 degrees
Space group Fm-3m (No. 225)
Asymmetric unit:
Ti 0.000 0.000 0.000 [4 per cell]
Re 0.250 0.250 0.250 [8 per cell]
W 0.000 0.000 0.500 [4 per cell]

Density functional theory data (meta-GGA SCAN) for a PBEsol-optimized structure of ZrTi2Re.

ΔH_f (0 K) (eV per atom): -0.13
Crystal system: cubic
Calculated density (g/cm3): 9.44

Cell lengths 6.403, 6.403, 6.403 Å; angles 90.00, 90.00, 90.00 degrees
Space group Fm-3m (No. 225)
Asymmetric unit:
Zr 0.000 0.000 0.000 [4 per cell]
Ti 0.250 0.250 0.250 [8 per cell]
Re 0.000 0.000 0.500 [4 per cell]

Density functional theory data (meta-GGA SCAN) for a PBEsol-optimized structure of TlRe3.

ΔH_f (0 K) (eV per atom): 1.10
Crystal system: trigonal
Relative energy among the computed polymorphs (eV/atom): 0.571
Calculated density (g/cm3): 19.67

Cell lengths 8.9819, 8.9819, 2.7662 Å; angles 90.00, 90.00, 120.00 degrees
Space group R-3m (No. 166, hexagonal axes)
Asymmetric unit:
Tl 0.0000 0.0000 0.0000 [3 per cell]
Re 0.0000 0.5000 0.0000 [9 per cell]

Density functional theory data (meta-GGA SCAN) for a PBEsol-optimized structure of TlRe3.

ΔH_f (0 K) (eV per atom): 0.53
Crystal system: hexagonal
Relative energy among the computed polymorphs (eV/atom): 0.000
Calculated density (g/cm3): 19.61

Cell lengths 2.8662, 2.8662, 9.0832 Å; angles 90.00, 90.00, 120.00 degrees
Space group P-6m2 (No. 187)
Asymmetric unit:
Tl 0.0000 0.0000 0.0000 [1 per cell]
Re 0.0000 0.0000 0.5000 [1 per cell]
Re 0.6667 0.3333 0.2693 [2 per cell]

Density functional theory data (meta-GGA SCAN) for a PBEsol-optimized structure of TlRe3.

ΔH_f (0 K) (eV per atom): 0.83
Crystal system: orthorhombic
Relative energy among the computed polymorphs (eV/atom): 0.296
Calculated density (g/cm3): 19.76

Cell lengths 2.919, 9.259, 4.745 Å; angles 90.00, 90.00, 90.00 degrees
Space group Imm2 (No. 44)
Asymmetric unit:
Tl 0.000 0.000 0.000 [2 per cell]
Re 0.000 0.232 0.382 [4 per cell]
Re 0.000 0.500 0.011 [2 per cell]

Density functional theory data (meta-GGA SCAN) for a PBEsol-optimized structure of TlReW2.

ΔH_f (0 K) (eV per atom): 0.88
Crystal system: tetragonal
Relative energy among the computed polymorphs (eV/atom): 0.211
Calculated density (g/cm3): 19.21

Cell lengths 3.984, 3.984, 4.131 Å; angles 90.00, 90.00, 90.00 degrees
Space group P4/mmm (No. 123)
Asymmetric unit:
Tl 0.000 0.000 0.000 [1 per cell]
Re 0.500 0.500 0.000 [1 per cell]
W 0.000 0.500 0.500 [2 per cell]

Density functional theory data (meta-GGA SCAN) for a PBEsol-optimized structure of Tl3ReW.

ΔH_f (0 K) (eV per atom): 1.99
Crystal system: cubic
Calculated density (g/cm3): 11.21

Cell lengths 5.262, 5.262, 5.262 Å; angles 90.00, 90.00, 90.00 degrees
Space group Pm-3m (No. 221)
Asymmetric unit:
Tl 0.000 0.000 0.500 [3 per cell]
Re 0.500 0.500 0.500 [1 per cell]
W 0.000 0.000 0.000 [1 per cell]

Density functional theory data (meta-GGA SCAN) for a PBEsol-optimized structure of TlReW2.

ΔH_f (0 K) (eV per atom): 0.67
Crystal system: orthorhombic
Relative energy among the computed polymorphs (eV/atom): 0.000
Calculated density (g/cm3): 18.57

Cell lengths 3.127, 4.670, 9.288 Å; angles 90.00, 90.00, 90.00 degrees
Space group Cmmm (No. 65)
Asymmetric unit:
Tl 0.000 0.000 0.000 [2 per cell]
Re 0.000 0.000 0.500 [2 per cell]
W 0.000 0.500 0.271 [4 per cell]

Density functional theory data (meta-GGA SCAN) for a PBEsol-optimized structure of YTlRe2.

ΔH_f (0 K) (eV per atom): 0.75
Crystal system: tetragonal
Relative energy among the computed polymorphs (eV/atom): 0.205
Calculated density (g/cm3): 14.78

Cell lengths 4.032, 4.032, 9.197 Å; angles 90.00, 90.00, 90.00 degrees
Space group I4/mmm (No. 139)
Asymmetric unit:
Y 0.000 0.000 0.000 [2 per cell]
Tl 0.000 0.000 0.500 [2 per cell]
Re 0.000 0.500 0.250 [4 per cell]

Density functional theory data (meta-GGA SCAN) for a PBEsol-optimized structure of Y2TlRe.

ΔH_f (0 K) (eV per atom): -0.11
Crystal system: cubic
Calculated density (g/cm3): 10.62

Cell lengths 7.084, 7.084, 7.084 Å; angles 90.00, 90.00, 90.00 degrees
Space group Fm-3m (No. 225)
Asymmetric unit:
Y 0.250 0.250 0.250 [8 per cell]
Tl 0.000 0.000 0.000 [4 per cell]
Re 0.000 0.000 0.500 [4 per cell]

Density functional theory data (meta-GGA SCAN) for a PBEsol-optimized structure of YTlRe2.

ΔH_f (0 K) (eV per atom): 0.55
Crystal system: trigonal
Relative energy among the computed polymorphs (eV/atom): 0.000
Calculated density (g/cm3): 14.67

Cell lengths 2.9922, 2.9922, 29.1467 Å; angles 90.00, 90.00, 120.00 degrees
Space group R3m (No. 160, hexagonal axes)
Asymmetric unit:
Y 0.0000 0.0000 0.0000 [3 per cell]
Tl 0.0000 0.0000 0.2371 [3 per cell]
Re 0.0000 0.0000 0.4860 [3 per cell]
Re 0.0000 0.0000 0.7524 [3 per cell]

Density functional theory data (meta-GGA SCAN) for a PBEsol-optimized structure of Tl2ZnRe.

ΔH_f (0 K) (eV per atom): 0.92
Crystal system: tetragonal
Relative energy among the computed polymorphs (eV/atom): 0.000
Calculated density (g/cm3): 14.88

Cell lengths 4.126, 4.126, 8.658 Å; angles 90.00, 90.00, 90.00 degrees
Space group I4/mmm (No. 139)
Asymmetric unit:
Tl 0.000 0.500 0.250 [4 per cell]
Zn 0.000 0.000 0.000 [2 per cell]
Re 0.000 0.000 0.500 [2 per cell]

Density functional theory data (meta-GGA SCAN) for a PBEsol-optimized structure of Tl2ZnRe.

ΔH_f (0 K) (eV per atom): 1.17
Crystal system: cubic
Relative energy among the computed polymorphs (eV/atom): 0.253
Calculated density (g/cm3): 14.51

Cell lengths 6.711, 6.711, 6.711 Å; angles 90.00, 90.00, 90.00 degrees
Space group Fm-3m (No. 225)
Asymmetric unit:
Tl 0.250 0.250 0.250 [8 per cell]
Zn 0.000 0.000 0.000 [4 per cell]
Re 0.000 0.000 0.500 [4 per cell]